1.
BaSnSe3, optimized geometry, DFT PBE; spin magnetization = 0.0 μB per cell; ΔE to the lowest computed polymorph = 15.9 kJ/mol of atoms
1.0
5.367 0.000 0.000
0.000 5.367 0.000
0.000 0.000 5.367
Ba Sn Se
1 1 3
direct
0.000 0.000 0.000 Ba
0.500 0.500 0.500 Sn
0.000 0.500 0.500 Se
0.500 0.000 0.500 Se
0.500 0.500 0.000 Se

2.
BaSn3Se4, optimized geometry, DFT PBE; spin magnetization = 0.0 μB per cell
1.0
6.614 0.000 0.000
0.000 4.417 0.000
-3.176 0.000 8.173
Ba Sn Se
1 3 4
direct
0.000 0.000 0.000 Ba
0.127 0.500 0.561 Sn
0.563 0.000 0.490 Sn
0.589 0.500 0.062 Sn
0.337 0.500 0.237 Se
0.407 0.000 0.855 Se
0.822 0.500 0.702 Se
0.894 0.000 0.359 Se

3.
Ba3SnSe5, optimized geometry, DFT PBE; spin magnetization = 0.0 μB per cell
1.0
-4.422 4.422 7.631
4.422 -4.422 7.631
4.422 4.422 -7.631
Ba Sn Se
6 2 10
direct
0.159 0.659 0.818 Ba
0.250 0.250 0.000 Ba
0.341 0.159 0.500 Ba
0.659 0.841 0.500 Ba
0.750 0.750 0.000 Ba
0.841 0.341 0.182 Ba
0.250 0.750 0.500 Sn
0.750 0.250 0.500 Sn
0.000 0.000 0.000 Se
0.010 0.199 0.500 Se
0.199 0.699 0.188 Se
0.301 0.490 0.500 Se
0.490 0.990 0.188 Se
0.500 0.500 0.000 Se
0.510 0.010 0.812 Se
0.699 0.510 0.500 Se
0.801 0.301 0.812 Se
0.990 0.801 0.500 Se

4.
Ba2SnSe3, optimized geometry, DFT PBE; spin magnetization = 0.0 μB per cell; ΔE to the lowest computed polymorph = 0.0 kJ/mol of atoms
1.0
-2.172 2.688 8.839
2.172 -2.688 8.839
2.172 2.688 -8.839
Ba Sn Se
2 1 3
direct
0.151 0.151 0.000 Ba
0.849 0.849 0.000 Ba
0.500 0.500 0.000 Sn
0.000 0.500 0.500 Se
0.335 0.335 0.000 Se
0.665 0.665 0.000 Se

5.
Ba2SnSe, optimized geometry, DFT PBE; spin magnetization = 0.0 μB per cell; ΔE to the lowest computed polymorph = 0.0 kJ/mol of atoms
1.0
-4.470 4.470 4.290
4.470 -4.470 4.290
4.470 4.470 -4.290
Ba Sn Se
4 2 2
direct
0.091 0.625 0.966 Ba
0.375 0.341 0.466 Ba
0.659 0.125 0.034 Ba
0.875 0.909 0.534 Ba
0.250 0.750 0.500 Sn
0.500 0.500 0.000 Sn
0.000 0.000 0.000 Se
0.750 0.250 0.500 Se

6.
BaSn3Se, optimized geometry, DFT PBE; spin magnetization = 1.8 μB per cell; ΔE to the lowest computed polymorph = 122.7 kJ/mol of atoms
1.0
6.263 0.000 0.000
0.000 6.263 0.000
0.000 0.000 6.263
Ba Sn Se
1 3 1
direct
0.000 0.000 0.000 Ba
0.000 0.000 0.500 Sn
0.000 0.500 0.000 Sn
0.500 0.000 0.000 Sn
0.500 0.500 0.500 Se

7.
BaSnSe3, optimized geometry, DFT PBE; spin magnetization = 0.0 μB per cell; ΔE to the lowest computed polymorph = 0.0 kJ/mol of atoms
1.0
7.846 0.000 0.000
0.000 6.959 0.000
-1.299 0.000 11.587
Ba Sn Se
4 4 12
direct
0.149 0.228 0.154 Ba
0.149 0.272 0.654 Ba
0.851 0.728 0.346 Ba
0.851 0.772 0.846 Ba
0.408 0.736 0.037 Sn
0.408 0.764 0.537 Sn
0.592 0.236 0.463 Sn
0.592 0.264 0.963 Sn
0.102 0.733 0.102 Se
0.102 0.767 0.602 Se
0.305 0.078 0.913 Se
0.305 0.422 0.413 Se
0.453 0.573 0.841 Se
0.453 0.927 0.341 Se
0.547 0.073 0.659 Se
0.547 0.427 0.159 Se
0.695 0.578 0.587 Se
0.695 0.922 0.087 Se
0.898 0.233 0.398 Se
0.898 0.267 0.898 Se

8.
Ba2SnSe, optimized geometry, DFT PBE; spin magnetization = 1.9 μB per cell; ΔE to the lowest computed polymorph = 2.3 kJ/mol of atoms
1.0
0.000 4.189 4.189
4.189 0.000 4.189
4.189 4.189 0.000
Ba Sn Se
2 1 1
direct
0.250 0.250 0.250 Ba
0.750 0.750 0.750 Ba
0.000 0.000 0.000 Sn
0.500 0.500 0.500 Se

9.
BaSn3Se, optimized geometry, DFT PBE; spin magnetization = 0.0 μB per cell; ΔE to the lowest computed polymorph = 0.0 kJ/mol of atoms
1.0
5.635 0.000 0.000
0.000 5.635 0.000
0.000 0.000 5.635
Ba Sn Se
1 3 1
direct
0.000 0.000 0.000 Ba
0.000 0.500 0.500 Sn
0.500 0.000 0.500 Sn
0.500 0.500 0.000 Sn
0.500 0.500 0.500 Se

10.
Ba3Sn2Se6, optimized geometry, DFT PBE; spin magnetization = 0.0 μB per cell
1.0
-2.688 2.688 13.005
2.688 -2.688 13.005
2.688 2.688 -13.005
Ba Sn Se
3 2 6
direct
0.000 0.000 0.000 Ba
0.172 0.172 0.000 Ba
0.828 0.828 0.000 Ba
0.396 0.396 0.000 Sn
0.604 0.604 0.000 Sn
0.082 0.582 0.500 Se
0.296 0.296 0.000 Se
0.418 0.918 0.500 Se
0.582 0.082 0.500 Se
0.704 0.704 0.000 Se
0.918 0.418 0.500 Se

11.
Ba3SnSe6, optimized geometry, DFT PBE; spin magnetization = 1.4 μB per cell
1.0
6.553 3.783 5.163
-6.553 3.783 5.163
0.000 -7.566 5.163
Ba Sn Se
6 2 12
direct
0.066 0.566 0.751 Ba
0.249 0.934 0.434 Ba
0.434 0.249 0.934 Ba
0.566 0.751 0.066 Ba
0.751 0.066 0.566 Ba
0.934 0.434 0.249 Ba
0.000 0.000 0.000 Sn
0.500 0.500 0.500 Sn
0.040 0.922 0.717 Se
0.078 0.283 0.960 Se
0.221 0.571 0.428 Se
0.283 0.960 0.078 Se
0.428 0.221 0.571 Se
0.429 0.572 0.779 Se
0.571 0.428 0.221 Se
0.572 0.779 0.429 Se
0.717 0.040 0.922 Se
0.779 0.429 0.572 Se
0.922 0.717 0.040 Se
0.960 0.078 0.283 Se

12.
BaSn2Se2, optimized geometry, DFT PBE; spin magnetization = 0.0 μB per cell
1.0
-2.132 2.132 8.480
2.132 -2.132 8.480
2.132 2.132 -8.480
Ba Sn Se
1 2 2
direct
0.000 0.000 0.000 Ba
0.250 0.750 0.500 Sn
0.750 0.250 0.500 Sn
0.400 0.400 0.000 Se
0.600 0.600 0.000 Se

13.
Ba4SnSe5, optimized geometry, DFT PBE; spin magnetization = 0.0 μB per cell
1.0
-5.200 5.200 3.323
5.200 -5.200 3.323
5.200 5.200 -3.323
Ba Sn Se
4 1 5
direct
0.101 0.299 0.400 Ba
0.299 0.899 0.199 Ba
0.701 0.101 0.801 Ba
0.899 0.701 0.600 Ba
0.528 0.528 0.000 Sn
0.209 0.598 0.804 Se
0.405 0.209 0.611 Se
0.598 0.794 0.389 Se
0.794 0.405 0.196 Se
0.942 0.942 0.000 Se

14.
BaSn2Se6, optimized geometry, DFT PBE; spin magnetization = 0.0 μB per cell
1.0
0.000 6.655 6.655
6.655 0.000 6.655
6.655 6.655 0.000
Ba Sn Se
2 4 12
direct
0.125 0.125 0.125 Ba
0.875 0.875 0.875 Ba
0.000 0.500 0.500 Sn
0.500 0.000 0.500 Sn
0.500 0.500 0.000 Sn
0.500 0.500 0.500 Sn
0.150 0.150 0.600 Se
0.150 0.600 0.150 Se
0.150 0.600 0.600 Se
0.400 0.400 0.850 Se
0.400 0.850 0.400 Se
0.400 0.850 0.850 Se
0.600 0.150 0.150 Se
0.600 0.150 0.600 Se
0.600 0.600 0.150 Se
0.850 0.400 0.400 Se
0.850 0.400 0.850 Se
0.850 0.850 0.400 Se

15.
BaSnSe3, optimized geometry, DFT PBE; spin magnetization = 0.0 μB per cell; ΔE to the lowest computed polymorph = 5.1 kJ/mol of atoms
1.0
6.495 0.000 0.000
0.000 7.309 0.000
-1.336 0.000 6.523
Ba Sn Se
2 2 6
direct
0.136 0.250 0.328 Ba
0.864 0.750 0.672 Ba
0.409 0.750 0.066 Sn
0.591 0.250 0.934 Sn
0.054 0.750 0.171 Se
0.391 0.531 0.726 Se
0.391 0.969 0.726 Se
0.609 0.031 0.274 Se
0.609 0.469 0.274 Se
0.946 0.250 0.829 Se

16.
BaSn5Se6, optimized geometry, DFT PBE; spin magnetization = 0.0 μB per cell
1.0
3.818 -6.522 0.000
3.818 6.522 0.000
-2.474 0.000 7.131
Ba Sn Se
1 5 6
direct
0.000 0.000 0.000 Ba
0.170 0.830 0.500 Sn
0.338 0.662 0.000 Sn
0.500 0.500 0.500 Sn
0.662 0.338 0.000 Sn
0.830 0.170 0.500 Sn
0.089 0.436 0.260 Se
0.270 0.270 0.752 Se
0.436 0.089 0.260 Se
0.564 0.911 0.740 Se
0.730 0.730 0.248 Se
0.911 0.564 0.740 Se

17.
Ba2SnSe, optimized geometry, DFT PBE; spin magnetization = 0.8 μB per cell; ΔE to the lowest computed polymorph = 15.3 kJ/mol of atoms
1.0
2.228 1.286 10.879
-2.228 1.286 10.879
0.000 -2.573 10.879
Ba Sn Se
2 1 1
direct
0.107 0.107 0.107 Ba
0.893 0.893 0.893 Ba
0.000 0.000 0.000 Sn
0.500 0.500 0.500 Se

18.
BaSrSn2Se4, optimized geometry, DFT PBE; spin magnetization = 0.0 μB per cell
1.0
7.724 0.000 0.000
0.000 4.459 0.000
-2.570 0.000 7.287
Ba Sr Sn Se
1 1 2 4
direct
0.000 0.000 0.000 Ba
0.500 0.500 0.000 Sr
0.000 0.500 0.500 Sn
0.500 0.000 0.500 Sn
0.254 0.000 0.740 Se
0.262 0.500 0.264 Se
0.738 0.500 0.736 Se
0.746 0.000 0.260 Se

19.
BaSr2SnSe4, optimized geometry, DFT PBE; spin magnetization = 0.0 μB per cell
1.0
-4.496 4.498 6.358
4.496 -4.498 6.358
4.496 4.498 -6.358
Ba Sr Sn Se
2 4 2 8
direct
0.000 0.000 0.000 Ba
0.500 0.000 0.500 Ba
0.000 0.500 0.500 Sr
0.500 0.000 0.000 Sr
0.500 0.500 0.000 Sr
0.500 0.500 0.500 Sr
0.000 0.000 0.500 Sn
0.000 0.500 0.000 Sn
0.242 0.745 0.497 Se
0.248 0.258 0.510 Se
0.248 0.738 0.990 Se
0.252 0.255 0.997 Se
0.748 0.745 0.003 Se
0.752 0.262 0.010 Se
0.752 0.742 0.490 Se
0.758 0.255 0.503 Se

20.
BaTa2SnSe, optimized geometry, DFT PBE; spin magnetization = 0.0 μB per cell
1.0
4.894 0.000 0.000
0.000 4.894 0.000
0.000 0.000 5.884
Ba Ta Sn Se
1 2 1 1
direct
0.000 0.000 0.000 Ba
0.000 0.500 0.500 Ta
0.500 0.000 0.500 Ta
0.500 0.500 0.000 Sn
0.500 0.500 0.500 Se

Record order is preserved below.
Mass density: 5.3 5.6 5.2 5.1 4.6 3.9 5.2 5.3 5.3 5.0 4.3 5.7 4.9 4.8 5.3 5.6 4.2 5.1 4.8 8.2 g/cm3
Record order is preserved below.
Energy relative to the elements, uncorrected: -0.86 -0.83 -1.46 -1.40 -0.90 1.15 -1.02 -0.88 -0.12 -1.27 -1.10 -0.72 -1.71 -0.41 -0.97 -0.68 -0.74 -1.19 -1.62 0.65 eV per atom